AgWSN2 PBE relaxed; offset from the most stable computed form = 2.142 eV per atom; D(E_F) = 5.8 states/eV/f.u.; formation energy without anion corrections = 240 kJ per mole of atoms
1.0
3.8472 0.0000 0.0000
0.0000 3.8472 0.0000
0.0000 0.0000 5.7426
Ag W S N
1 1 1 2
Cartesian
0.0000 0.0000 0.0000 Ag
0.0000 0.0000 2.8713 W
1.9236 1.9236 2.8713 S
0.0000 1.9236 0.0000 N
1.9236 0.0000 0.0000 N